No. 1
Entry from Alexandria: crystalline TbPm2Er3 at its relaxed geometry (GGA-PBE).

Energy above the most stable polymorph in this dataset   0.0 meV/atom
Magnetization   0.00 Bohr magnetons per cell
Energy of formation from the pure elements   0.589 eV/f.u.

a b c (Å): 3.507 10.994 11.769
angles (deg): 61.46 81.43 80.82
Atoms (fractional coordinates):
Pm (0.202, 0.447, 0.150)
Pm (0.798, 0.553, 0.850)
Pm (0.701, 0.947, 0.650)
Pm (0.299, 0.053, 0.350)
Er (0.384, 0.226, 0.006)
Er (0.117, 0.273, 0.494)
Er (0.039, 0.092, 0.830)
Er (0.883, 0.727, 0.506)
Er (0.961, 0.908, 0.170)
Er (0.616, 0.774, 0.994)
Tb (0.461, 0.406, 0.672)
Tb (0.539, 0.594, 0.328)



No. 2
Entry from Alexandria: crystalline YCo2S4 at its relaxed geometry (GGA-PBE).

Energy above the most stable polymorph in this dataset   0.0 meV/atom
Formation energy from raw total energies   -0.81 eV per atom
Magnetization   2.02 Bohr magnetons per cell

a b c (Å): 7.053 7.053 7.053
angles (deg): 121.67 115.13 92.88
Atoms (fractional coordinates):
S (0.680, 0.728, 0.952)
S (0.741, 0.712, 0.471)
S (0.741, 0.269, 0.029)
S (0.275, 0.728, 0.548)
S (0.259, 0.731, 0.971)
S (0.320, 0.272, 0.048)
S (0.725, 0.272, 0.452)
S (0.259, 0.288, 0.529)
Y (0.500, 0.000, 0.500)
Y (0.000, 0.000, 0.000)
Co (0.500, 0.000, 0.000)
Co (0.500, 0.500, 0.000)
Co (0.500, 0.500, 0.500)
Co (0.000, 0.500, 0.500)



No. 3
Entry from Alexandria: crystalline Rb2BaNa9 at its relaxed geometry (GGA-PBE).

Magnetization   0.00 Bohr magnetons per cell
Energy of formation from the pure elements   0.222 eV/f.u.

a b c (Å): 7.338 7.338 12.790
angles (deg): 73.33 73.33 60.00
Atoms (fractional coordinates):
Na (0.421, 0.421, 0.238)
Na (0.421, 0.920, 0.238)
Na (0.080, 0.579, 0.762)
Na (0.920, 0.421, 0.238)
Na (0.333, 0.333, 0.001)
Na (0.579, 0.579, 0.762)
Na (0.579, 0.080, 0.762)
Na (0.667, 0.667, 0.999)
Na (0.500, 0.500, 0.500)
Rb (0.859, 0.859, 0.422)
Rb (0.141, 0.141, 0.578)
Ba (0.000, 0.000, 0.000)



No. 4
Entry from Alexandria: crystalline Ce4Ga2C at its relaxed geometry (GGA-PBE).

Energy above the most stable polymorph in this dataset   85.1 meV/atom
Magnetization   3.84 Bohr magnetons per cell
Energy of formation from the pure elements   -1.283 eV/f.u.

a b c (Å): 3.477 8.185 12.162
angles (deg): 90.00 90.00 90.00
Atoms (fractional coordinates):
Ce (0.000, 0.126, 0.685)
Ce (0.000, 0.874, 0.315)
Ce (0.500, 0.700, 0.058)
Ce (0.500, 0.300, 0.942)
Ce (0.500, 0.800, 0.558)
Ce (0.000, 0.374, 0.185)
Ce (0.500, 0.200, 0.442)
Ce (0.000, 0.626, 0.815)
Ga (0.500, 0.568, 0.345)
Ga (0.500, 0.932, 0.845)
Ga (0.500, 0.068, 0.155)
Ga (0.500, 0.432, 0.655)
C (0.000, 0.500, 0.000)
C (0.000, 0.000, 0.500)



No. 5
Entry from Alexandria: crystalline LiMnCrAs at its relaxed geometry (GGA-PBE).

Magnetization   1.00 Bohr magnetons per cell
Energy of formation from the pure elements   -0.432 eV/f.u.

a b c (Å): 4.129 4.129 4.129
angles (deg): 60.00 60.00 60.00
Atoms (fractional coordinates):
Mn (0.250, 0.250, 0.250)
Cr (0.000, 0.000, 0.000)
Li (0.750, 0.750, 0.750)
As (0.500, 0.500, 0.500)



No. 6
Entry from Alexandria: crystalline Sr3In6GaSn2 at its relaxed geometry (GGA-PBE).

Magnetization   0.00 Bohr magnetons per cell
Energy of formation from the pure elements   -2.636 eV/f.u.

a b c (Å): 6.180 6.180 11.114
angles (deg): 90.00 90.00 120.00
Atoms (fractional coordinates):
Sn (0.333, 0.667, 0.039)
Sn (0.667, 0.333, 0.961)
In (0.168, 0.335, 0.275)
In (0.168, 0.832, 0.275)
In (0.665, 0.832, 0.275)
In (0.335, 0.168, 0.725)
In (0.832, 0.168, 0.725)
In (0.832, 0.665, 0.725)
Sr (0.000, 0.000, 0.000)
Sr (0.667, 0.333, 0.434)
Sr (0.333, 0.667, 0.566)
Ga (0.000, 0.000, 0.500)